Record 1
SnS2NCl | PBE | relaxed

Structure (POSCAR):
```
SnS2NCl
1.0
-3.209 -3.983 0.933
3.217 -1.725 3.703
-2.027 2.296 2.831
Sn S N Cl
1 2 1 1
direct
0.000 0.000 0.000
0.000 0.500 0.000
0.500 0.000 0.000
0.000 0.000 0.500
0.500 0.500 0.500
```

Summary:
Uncorrected formation energy = 1067 meV per atom

***

Record 2
Na2Si2Hg | PBE | relaxed

Structure (POSCAR):
```
Na2Si2Hg
1.0
4.222 0.000 0.000
0.000 4.222 0.000
2.111 2.111 6.381
Si Na Hg
2 2 1
direct
0.413 0.413 0.174
0.587 0.587 0.826
0.750 0.250 0.500
0.250 0.750 0.500
0.000 0.000 0.000
```

Summary:
Uncorrected formation energy = 315 meV per atom

***

Record 3
LiZrAs | PBE | relaxed

Structure (POSCAR):
```
LiZrAs
1.0
-1.988 -4.527 -2.710
1.265 -4.865 -2.034
-1.401 -2.157 2.132
Li Zr As
1 1 1
direct
0.358 0.358 0.642
0.657 0.657 0.343
0.985 0.985 0.015
```

Summary:
Energy relative to the elements = -1.2 eV per formula unit

***

How do the records compare in energy above the lowest structure with this stoichiometry? In the order shown, they have 0.3542 0.2542 0.4967 eV/atom.